First-principles (PBE) data for Lu2HfAl after structural relaxation, as listed in the Alexandria database.

Cell lengths 3.2163, 3.2163, 11.2598 Å; angles 81.79, 81.79, 60.00 degrees
Element x y z (fractional)
Al 0.5000 0.5000 0.5000
Lu 0.9047 0.9047 0.2858
Lu 0.0953 0.0953 0.7142
Hf 0.0000 0.0000 0.0000

Properties
**Electronic total energy**: -5.450 eV per atom
**ΔE_f**: 0.235 eV per atom
**SG**: No. 166